(1)
The following is a SCAN calculation of TiIn3Ga at its PBEsol-relaxed geometry, from the Alexandria database.

The structure in extended XYZ format:
```
5
Lattice="5.2789 0.0000 0.0000 0.0000 5.2789 0.0000 0.0000 0.0000 5.2789" Properties=species:S:1:pos:R:3 pbc="T T T"
Ti 0.0000 0.0000 0.0000
In 0.0000 0.0000 2.6394
In 0.0000 2.6394 0.0000
In 2.6394 0.0000 0.0000
Ga 2.6394 2.6394 2.6394
```

Magnetization, μB/f.u.: 1.68
Total DFT energy (no corrections), eV per atom: -26.010
Fermi-level density of states, states/eV/cell: 3.49
Energy of formation from the pure elements, eV per atom: 0.497



(2)
The following is a SCAN calculation of Tl2In2Ga at its PBEsol-relaxed geometry, from the Alexandria database.

The structure in extended XYZ format:
```
10
Lattice="7.3274 0.0000 0.0000 0.0000 7.3274 0.0000 0.0000 0.0000 4.9118" Properties=species:S:1:pos:R:3 pbc="T T T"
Tl 1.2329 2.4308 0.0000
Tl 2.4308 6.0945 0.0000
Tl 4.8966 1.2329 0.0000
Tl 6.0945 4.8966 0.0000
In 1.0507 4.7144 2.4559
In 2.6130 1.0507 2.4559
In 4.7144 6.2767 2.4559
In 6.2767 2.6130 2.4559
Ga 0.0000 0.0000 2.4559
Ga 3.6637 3.6637 2.4559
```

Magnetization, μB/f.u.: 0.00
Total DFT energy (no corrections), eV per atom: -45.470
Fermi-level density of states, states/eV/cell: 4.31
Energy of formation from the pure elements, eV per atom: 0.097
E above lowest polymorph, meV per atom: 0.0



(3)
The following is a SCAN calculation of Tl2InGa2 at its PBEsol-relaxed geometry, from the Alexandria database.

The structure in extended XYZ format:
```
5
Lattice="-1.8575 1.8575 8.9283 1.8575 -1.8575 8.9283 1.8575 1.8575 -8.9283" Properties=species:S:1:pos:R:3 pbc="T T T"
Tl 0.0000 0.0000 1.9397
Tl 0.0000 0.0000 15.9169
In 0.0000 0.0000 8.9283
Ga 1.8575 0.0000 4.4642
Ga 0.0000 1.8575 4.4642
```

Magnetization, μB/f.u.: 0.00
Total DFT energy (no corrections), eV per atom: -42.041
Fermi-level density of states, states/eV/cell: 1.91
Energy of formation from the pure elements, eV per atom: 0.118
E above lowest polymorph, meV per atom: 16.9